[1]
Entry from Alexandria: an optimized crystal structure of HoMgCd6 (PBE-GGA).

Output
For the calculated total energy, the calculation gives -12.95 eV per formula unit. The value obtained for the energy above the most stable polymorph in this dataset is 3.6 meV per atom. The crystal system is tetragonal. The formation enthalpy at 0 K comes out at -124 kJ/mol of formula units. For the theoretical density, the calculation gives 7.8 g/cm³.

POSCAR file:
```
HoMgCd6
1.0
4.5929 0.0000 0.0000
0.0000 4.5929 0.0000
0.0000 0.0000 8.6964
Ho Mg Cd
1 1 6
Direct
0.0000 0.0000 0.0000 Ho
0.0000 0.0000 0.5000 Mg
0.0000 0.5000 0.2585 Cd
0.0000 0.5000 0.7415 Cd
0.5000 0.0000 0.2585 Cd
0.5000 0.0000 0.7415 Cd
0.5000 0.5000 0.0000 Cd
0.5000 0.5000 0.5000 Cd
```

***

[2]
Entry from Alexandria: an optimized crystal structure of Ag6RhF12 (PBE-GGA).

Output
For the calculated total energy, the calculation gives -70.33 eV per formula unit. The crystal system is trigonal. For the theoretical density, the calculation gives 5.5 g/cm³. The value obtained for the energy relative to the elements, uncorrected is -1232 meV per atom.

POSCAR file:
```
Ag6RhF12
1.0
5.0873 2.9371 3.3021
-5.0873 2.9371 3.3021
0.0000 -5.8743 3.3021
Ag Rh F
6 1 12
Direct
0.0982 0.6354 0.8067 Ag
0.1933 0.9018 0.3646 Ag
0.3646 0.1933 0.9018 Ag
0.6354 0.8067 0.0982 Ag
0.8067 0.0982 0.6354 Ag
0.9018 0.3646 0.1933 Ag
0.5000 0.5000 0.5000 Rh
0.0882 0.3322 0.8998 F
0.1002 0.9118 0.6678 F
0.2120 0.5303 0.4364 F
0.3322 0.8998 0.0882 F
0.4364 0.2120 0.5303 F
0.4697 0.5636 0.7880 F
0.5303 0.4364 0.2120 F
0.5636 0.7880 0.4697 F
0.6678 0.1002 0.9118 F
0.7880 0.4697 0.5636 F
0.8998 0.0882 0.3322 F
0.9118 0.6678 0.1002 F
```

***

[3]
Entry from Alexandria: an optimized crystal structure of MgSi2Rh (PBE-GGA).

Output
For the calculated total energy, the calculation gives -21.06 eV per formula unit. The crystal system is monoclinic. For the theoretical density, the calculation gives 4.8 g/cm³. The value obtained for the energy relative to the elements, uncorrected is -318 meV per atom.

POSCAR file:
```
MgSi2Rh
1.0
4.0672 -1.5012 0.0000
4.0672 1.5012 0.0000
-1.1251 0.0000 5.1576
Mg Si Rh
1 2 1
Direct
0.0000 0.0000 0.0000 Mg
0.2395 0.2395 0.6947 Si
0.7605 0.7605 0.3053 Si
0.5000 0.5000 0.5000 Rh
```

***

[4]
Entry from Alexandria: an optimized crystal structure of NaNb2Te (PBE-GGA).

Output
For the calculated total energy, the calculation gives -21.77 eV per formula unit. The crystal system is tetragonal. For the theoretical density, the calculation gives 6.1 g/cm³. The value obtained for the energy relative to the elements, uncorrected is 707 meV per atom.

POSCAR file:
```
NaNb2Te
1.0
-4.0887 4.0887 2.7477
4.0887 -4.0887 2.7477
4.0887 4.0887 -2.7477
Na Nb Te
2 4 2
Direct
0.0000 0.0000 0.0000 Na
0.7500 0.2500 0.5000 Na
0.1693 0.6250 0.0443 Nb
0.3750 0.4193 0.5443 Nb
0.5807 0.1250 0.9557 Nb
0.8750 0.8307 0.4557 Nb
0.2500 0.7500 0.5000 Te
0.5000 0.5000 0.0000 Te
```

***

[5]
Entry from Alexandria: an optimized crystal structure of TiNb2AuF (PBE-GGA).

Output
For the calculated total energy, the calculation gives -32.22 eV per formula unit. The crystal system is tetragonal. For the theoretical density, the calculation gives 8.1 g/cm³. The value obtained for the energy relative to the elements, uncorrected is 193 meV per atom.

POSCAR file:
```
TiNb2AuF
1.0
4.8761 0.0000 0.0000
0.0000 4.8761 0.0000
0.0000 0.0000 3.8550
Ti Nb Au F
1 2 1 1
Direct
0.0000 0.0000 0.0000 Ti
0.0000 0.5000 0.0000 Nb
0.5000 0.0000 0.0000 Nb
0.5000 0.5000 0.5000 Au
0.0000 0.0000 0.5000 F
```

***

[6]
Entry from Alexandria: an optimized crystal structure of ErPuS2 (PBE-GGA).

Output
For the calculated total energy, the calculation gives -34.54 eV per formula unit. The value obtained for the energy above the most stable polymorph in this dataset is 46.4 meV per atom. The crystal system is hexagonal. For the theoretical density, the calculation gives 9.2 g/cm³. The value obtained for the energy relative to the elements, uncorrected is -1847 meV per atom.

POSCAR file:
```
ErPuS2
1.0
3.8550 0.0000 0.0000
-1.9275 3.3385 0.0000
0.0000 0.0000 13.2940
Er Pu S
2 2 4
Direct
0.0000 0.0000 0.0000 Er
0.0000 0.0000 0.5000 Er
0.3333 0.6667 0.2500 Pu
0.6667 0.3333 0.7500 Pu
0.3333 0.6667 0.6183 S
0.3333 0.6667 0.8817 S
0.6667 0.3333 0.1183 S
0.6667 0.3333 0.3817 S
```

***

[7]
Entry from Alexandria: an optimized crystal structure of Cs2SrTlI5 (PBE-GGA).

Output
For the calculated total energy, the calculation gives -26.06 eV per formula unit. The crystal system is orthorhombic. For the theoretical density, the calculation gives 4.1 g/cm³. The value obtained for the energy relative to the elements, uncorrected is -1395 meV per atom.

POSCAR file:
```
Cs2SrTlI5
1.0
2.5419 -10.9547 0.0000
2.5419 10.9547 0.0000
0.0000 0.0000 17.4226
Cs Sr Tl I
4 2 2 10
Direct
0.0856 0.9144 0.5000 Cs
0.1367 0.8633 0.1433 Cs
0.8633 0.1367 0.6433 Cs
0.9144 0.0856 0.0000 Cs
0.2248 0.7752 0.8721 Sr
0.7752 0.2248 0.3721 Sr
0.4582 0.5418 0.2973 Tl
0.5418 0.4582 0.7973 Tl
0.0804 0.9196 0.9179 I
0.2613 0.7387 0.5000 I
0.3009 0.6991 0.2503 I
0.3717 0.6283 0.8325 I
0.4947 0.5053 0.6136 I
0.5053 0.4947 0.1136 I
0.6283 0.3717 0.3325 I
0.6991 0.3009 0.7503 I
0.7387 0.2613 0.0000 I
0.9196 0.0804 0.4179 I
```

***

[8]
Entry from Alexandria: an optimized crystal structure of Tm5AuSe4 (PBE-GGA).

Output
For the calculated total energy, the calculation gives -54.84 eV per formula unit. The crystal system is tetragonal. For the theoretical density, the calculation gives 9.5 g/cm³. The value obtained for the energy relative to the elements, uncorrected is -1526 meV per atom.

POSCAR file:
```
Tm5AuSe4
1.0
-4.5327 4.5327 2.8765
4.5327 -4.5327 2.8765
4.5327 4.5327 -2.8765
Tm Au Se
5 1 4
Direct
0.0000 0.0000 0.0000 Tm
0.2058 0.6005 0.8063 Tm
0.3995 0.2058 0.6053 Tm
0.6005 0.7942 0.3947 Tm
0.7942 0.3995 0.1937 Tm
0.5000 0.5000 0.0000 Au
0.0953 0.3055 0.4008 Se
0.3055 0.9047 0.2102 Se
0.6945 0.0953 0.7898 Se
0.9047 0.6945 0.5992 Se
```

***

[9]
Entry from Alexandria: an optimized crystal structure of NbInP2O8 (PBE-GGA).

Output
For the calculated total energy, the calculation gives -89.15 eV per formula unit. The crystal system is monoclinic. For the theoretical density, the calculation gives 3.3 g/cm³. The value obtained for the energy relative to the elements, uncorrected is -2155 meV per atom.

POSCAR file:
```
NbInP2O8
1.0
4.3959 -2.6553 0.0000
4.3959 2.6553 0.0000
-0.0938 0.0000 8.5582
Nb In P O
1 1 2 8
Direct
0.0000 0.0000 0.0000 Nb
0.0000 0.0000 0.5000 In
0.3475 0.3475 0.2030 P
0.6525 0.6525 0.7970 P
0.2077 0.2077 0.0867 O
0.2090 0.6802 0.1568 O
0.3038 0.3038 0.3711 O
0.3198 0.7910 0.8432 O
0.6802 0.2090 0.1568 O
0.6962 0.6962 0.6289 O
0.7910 0.3198 0.8432 O
0.7923 0.7923 0.9133 O
```

***

[10]
Entry from Alexandria: an optimized crystal structure of BeCd2Te (PBE-GGA).

Output
For the calculated total energy, the calculation gives -7.54 eV per formula unit. The value obtained for the energy above the most stable polymorph in this dataset is 124.1 meV per atom. The crystal system is orthorhombic. For the theoretical density, the calculation gives 5.8 g/cm³. The value obtained for the energy relative to the elements, uncorrected is 288 meV per atom.

POSCAR file:
```
BeCd2Te
1.0
-1.8571 3.2948 4.2006
1.8571 -3.2948 4.2006
1.8571 3.2948 -4.2006
Be Cd Te
1 2 1
Direct
0.0000 0.0000 0.0000 Be
0.2253 0.7253 0.5000 Cd
0.5013 0.5013 0.0000 Cd
0.8252 0.3252 0.5000 Te
```

***

[11]
Entry from Alexandria: an optimized crystal structure of Li2TaFe (PBE-GGA).

Output
For the calculated total energy, the calculation gives -23.60 eV per formula unit. The value obtained for the energy above the most stable polymorph in this dataset is 76.8 meV per atom. The crystal system is monoclinic. The formation enthalpy at 0 K comes out at 52 kJ/mol of formula units. For the theoretical density, the calculation gives 6.6 g/cm³.

POSCAR file:
```
Li2TaFe
1.0
10.5302 -2.1210 0.0000
10.5302 2.1210 0.0000
-0.2408 0.0000 2.8131
Li Ta Fe
4 2 2
Direct
0.1557 0.1557 0.3650 Li
0.2941 0.2941 0.1269 Li
0.7059 0.7059 0.8731 Li
0.8443 0.8443 0.6350 Li
0.4386 0.4386 0.7163 Ta
0.5614 0.5614 0.2837 Ta
0.0447 0.0447 0.7772 Fe
0.9553 0.9553 0.2228 Fe
```